{
  "formula": "RbVSb",
  "functional": "PBE",
  "state": "relaxed",
  "e_above_lowest_polymorph_ev_per_atom": 0.185,
  "m_tot_mub_per_cell": 0.0,
  "space_group": "P-1",
  "raw_formation_energy_mev_per_atom": 124.0,
  "energy_ev_per_atom": -4.612,
  "cell": [[4.4345, 0.0056, 0.0041], [-0.9713, 7.1249, -0.0048], [-2.0502, -1.9102, 7.0254]],
  "species": ["Sb", "Sb", "Rb", "Rb", "V", "V"],
  "fractional_positions": [[0.1712, 0.2661, 0.2557], [0.8288, 0.7339, 0.7443], [0.4559, 0.1918, 0.8092], [0.5441, 0.8082, 0.1908], [0.7897, 0.4300, 0.4551], [0.2103, 0.5700, 0.5449]]
}

{
  "formula": "CuIrSe2",
  "functional": "PBE",
  "state": "relaxed",
  "m_tot_mub_per_cell": 0.0,
  "space_group": "I-4m2",
  "raw_formation_energy_mev_per_atom": 510.4,
  "energy_ev_per_atom": -4.471,
  "cell": [[-4.6445, 0.9162, -1.8573], [-1.6330, -3.4357, -3.3749], [2.0310, -0.2185, 4.6570]],
  "species": ["Cu", "Ir", "Se", "Se"],
  "fractional_positions": [[0.5000, 0.5000, 0.0000], [0.7500, 0.2500, 0.5000], [0.0000, 0.0000, 0.0000], [0.2500, 0.7500, 0.5000]]
}

{
  "formula": "V2WBr",
  "functional": "PBE",
  "state": "relaxed",
  "e_above_lowest_polymorph_ev_per_atom": 0.000,
  "m_tot_mub_per_cell": 1.3,
  "space_group": "Fm-3m",
  "raw_formation_energy_mev_per_atom": 897.0,
  "energy_ev_per_atom": -7.319,
  "cell": [[0.8280, -4.2789, -0.9204], [-3.2895, -2.9971, 0.1953], [-1.5812, -1.8187, -3.7461]],
  "species": ["W", "Br", "V", "V"],
  "fractional_positions": [[0.5000, 0.5000, 0.5000], [0.0000, 0.0000, 0.0000], [0.2500, 0.2500, 0.2500], [0.7500, 0.7500, 0.7500]]
}

{
  "formula": "La4BeNi",
  "functional": "PBE",
  "state": "relaxed",
  "delta_e_f_kj_per_mol_atoms": 85,
  "m_tot_mub_per_cell": 0.0,
  "space_group": "F-43m",
  "energy_ev_per_atom": -3.985,
  "cell": [[-2.1859, -5.8823, 0.1830], [-5.1031, -1.5567, -3.3087], [0.5360, -3.7060, -5.0389]],
  "species": ["La", "La", "La", "La", "Be", "Ni"],
  "fractional_positions": [[0.8737, 0.3754, 0.3754], [0.3754, 0.3754, 0.8737], [0.3754, 0.8737, 0.3754], [0.3754, 0.3754, 0.3754], [0.0000, 0.0000, 0.0000], [0.7500, 0.7500, 0.7500]]
}

{
  "formula": "SbAsIr2",
  "functional": "PBE",
  "state": "relaxed",
  "e_above_lowest_polymorph_ev_per_atom": 0.456,
  "m_tot_mub_per_cell": 0.0,
  "space_group": "Fm-3m",
  "raw_formation_energy_mev_per_atom": 297.7,
  "energy_ev_per_atom": -6.326,
  "cell": [[-0.3515, 1.2117, 4.4089], [-3.0693, -2.0673, 2.7085], [1.4084, -2.8716, 3.2865]],
  "species": ["Sb", "As", "Ir", "Ir"],
  "fractional_positions": [[0.5000, 0.5000, 0.5000], [0.0000, 0.0000, 0.0000], [0.2500, 0.2500, 0.2500], [0.7500, 0.7500, 0.7500]]
}

{
  "formula": "Tb12Nd2Tm5",
  "functional": "PBE",
  "state": "relaxed",
  "delta_e_f_kj_per_mol_atoms": 2,
  "e_above_lowest_polymorph_ev_per_atom": 0.000,
  "m_tot_mub_per_cell": 0.0,
  "space_group": "P-1",
  "energy_ev_per_atom": -4.586,
  "cell": [[6.9297, 3.3041, -2.0484], [1.3369, 8.5794, -9.4241], [-3.3868, -5.6311, 16.5111]],
  "species": ["Tb", "Tb", "Tb", "Tb", "Tb", "Tb", "Tb", "Tb", "Tb", "Tb", "Tb", "Tb", "Nd", "Nd", "Tm", "Tm", "Tm", "Tm", "Tm"],
  "fractional_positions": [[0.1071, 0.1577, 0.2909], [0.3164, 0.4737, 0.8689], [0.7919, 0.6820, 0.9209], [0.0527, 0.5837, 0.3974], [0.5241, 0.7916, 0.4486], [0.3647, 0.0538, 0.7627], [0.6353, 0.9462, 0.2373], [0.9473, 0.4163, 0.6026], [0.4759, 0.2084, 0.5514], [0.6836, 0.5263, 0.1311], [0.2081, 0.3180, 0.0791], [0.8929, 0.8423, 0.7091], [0.7354, 0.1066, 0.0270], [0.2646, 0.8934, 0.9730], [0.4208, 0.6285, 0.6550], [0.1586, 0.7358, 0.1844], [0.0000, 0.0000, 0.5000], [0.8414, 0.2642, 0.8156], [0.5792, 0.3715, 0.3450]]
}

{
  "formula": "Na3Pt3RhO8",
  "functional": "PBE",
  "state": "relaxed",
  "m_tot_mub_per_cell": 0.0,
  "space_group": "C2/m",
  "raw_formation_energy_mev_per_atom": -856.6,
  "energy_ev_per_atom": -5.463,
  "cell": [[-5.1331, -1.9020, -2.9322], [5.7701, -2.6323, -1.8178], [-2.3095, -2.0580, 5.3781]],
  "species": ["Na", "Na", "Na", "Pt", "Pt", "Pt", "Rh", "O", "O", "O", "O", "O", "O", "O", "O"],
  "fractional_positions": [[0.0000, 0.0000, 0.0000], [0.0000, 0.5000, 0.0000], [0.5000, 0.5000, 0.0000], [0.5000, 0.0000, 0.5000], [0.5000, 0.5000, 0.5000], [0.0000, 0.5000, 0.5000], [0.0000, 0.0000, 0.5000], [0.2174, 0.4349, 0.2561], [0.7826, 0.5651, 0.7439], [0.7889, 0.5777, 0.3208], [0.2111, 0.4223, 0.6792], [0.7862, 0.0882, 0.3352], [0.2138, 0.9118, 0.6648], [0.3020, 0.0882, 0.3352], [0.6980, 0.9118, 0.6648]]
}

{
  "formula": "K5TlO3",
  "functional": "PBE",
  "state": "relaxed",
  "e_above_lowest_polymorph_ev_per_atom": 0.052,
  "m_tot_mub_per_cell": 0.0,
  "space_group": "C2/m",
  "raw_formation_energy_mev_per_atom": -926.9,
  "energy_ev_per_atom": -3.452,
  "cell": [[7.4882, -0.0080, 0.1966], [2.0422, 7.2044, 0.1966], [3.0678, 2.3165, 9.2247]],
  "species": ["K", "K", "K", "K", "K", "K", "K", "K", "K", "K", "Tl", "Tl", "O", "O", "O", "O", "O", "O"],
  "fractional_positions": [[0.9792, 0.3481, 0.3385], [0.3108, 0.6892, 0.0000], [0.7706, 0.7706, 0.0225], [0.4309, 0.4309, 0.3748], [0.5691, 0.5691, 0.6252], [0.2294, 0.2294, 0.9775], [0.3481, 0.9792, 0.3385], [0.6892, 0.3108, 0.0000], [0.0208, 0.6519, 0.6615], [0.6519, 0.0208, 0.6615], [0.1133, 0.1133, 0.7224], [0.8867, 0.8867, 0.2776], [0.6638, 0.6638, 0.8301], [0.6762, 0.6762, 0.3178], [0.0000, 0.0000, 0.0000], [0.0000, 0.0000, 0.5000], [0.3362, 0.3362, 0.1699], [0.3238, 0.3238, 0.6822]]
}

{
  "formula": "FeCoAs2",
  "functional": "PBE",
  "state": "relaxed",
  "delta_e_f_kj_per_mol_atoms": 9,
  "e_above_lowest_polymorph_ev_per_atom": 0.159,
  "m_tot_mub_per_cell": 2.5,
  "space_group": "Fm-3m",
  "energy_ev_per_atom": -6.126,
  "cell": [[0.7169, 2.5724, 3.2618], [-2.4511, -0.2039, 3.4236], [1.5404, -1.5476, 3.6059]],
  "species": ["As", "As", "Co", "Fe"],
  "fractional_positions": [[0.2500, 0.2500, 0.2500], [0.7500, 0.7500, 0.7500], [0.5000, 0.5000, 0.5000], [0.0000, 0.0000, 0.0000]]
}

{
  "formula": "HfTiRh",
  "functional": "PBE",
  "state": "relaxed",
  "delta_e_f_kj_per_mol_atoms": -40,
  "e_above_lowest_polymorph_ev_per_atom": 0.193,
  "m_tot_mub_per_cell": 0.0,
  "space_group": "P3m1",
  "energy_ev_per_atom": -8.810,
  "cell": [[2.9772, 0.0000, 0.0000], [0.0000, 4.4770, 0.0000], [0.0000, -2.2385, 3.8772]],
  "species": ["Rh", "Hf", "Ti"],
  "fractional_positions": [[0.3515, 0.6667, 0.3333], [0.0326, 0.0000, 0.0000], [0.6159, 0.3333, 0.6667]]
}

{
  "formula": "CoAg2Sn3S8",
  "functional": "PBE",
  "state": "relaxed",
  "m_tot_mub_per_cell": 1.0,
  "space_group": "R-3m",
  "raw_formation_energy_mev_per_atom": -324.4,
  "energy_ev_per_atom": -4.456,
  "cell": [[-4.3176, -6.0419, -0.6216], [3.2010, -6.7281, 0.1379], [-0.9995, -4.3278, 5.9837]],
  "species": ["Co", "Ag", "Ag", "Sn", "Sn", "Sn", "S", "S", "S", "S", "S", "S", "S", "S"],
  "fractional_positions": [[0.0000, 0.0000, 0.0000], [0.3902, 0.3902, 0.3902], [0.6098, 0.6098, 0.6098], [0.0000, 0.5000, 0.0000], [0.0000, 0.0000, 0.5000], [0.5000, 0.0000, 0.0000], [0.7768, 0.2100, 0.7768], [0.7530, 0.7530, 0.7530], [0.7900, 0.2232, 0.2232], [0.2232, 0.2232, 0.7900], [0.2232, 0.7900, 0.2232], [0.2470, 0.2470, 0.2470], [0.2100, 0.7768, 0.7768], [0.7768, 0.7768, 0.2100]]
}

{
  "formula": "GaCu3Au2",
  "functional": "PBE",
  "state": "relaxed",
  "delta_e_f_kj_per_mol_atoms": -7,
  "e_above_lowest_polymorph_ev_per_atom": 0.000,
  "m_tot_mub_per_cell": 0.0,
  "space_group": "C2/m",
  "energy_ev_per_atom": -3.716,
  "cell": [[-3.5449, -1.9227, 0.2367], [-1.3323, -1.0423, 6.0530], [-7.1187, 4.4765, 0.5891]],
  "species": ["Ga", "Ga", "Cu", "Cu", "Cu", "Cu", "Cu", "Cu", "Au", "Au", "Au", "Au"],
  "fractional_positions": [[0.6630, 0.6740, 0.0000], [0.3370, 0.3260, 0.0000], [0.4100, 0.6557, 0.7611], [0.2522, 0.0000, 0.2467], [0.5900, 0.3443, 0.2389], [0.9343, 0.6557, 0.2389], [0.0657, 0.3443, 0.7611], [0.7478, 0.0000, 0.7533], [0.0000, 0.0000, 0.0000], [0.5000, 0.0000, 0.5000], [0.1665, 0.6669, 0.5000], [0.8335, 0.3331, 0.5000]]
}

{
  "formula": "ErCuPd6",
  "functional": "PBE",
  "state": "relaxed",
  "delta_e_f_kj_per_mol_atoms": -15,
  "e_above_lowest_polymorph_ev_per_atom": 0.296,
  "m_tot_mub_per_cell": 0.0,
  "space_group": "C2/m",
  "energy_ev_per_atom": -5.129,
  "cell": [[4.7867, 0.8338, 0.0675], [1.1911, 4.7105, 0.0675], [1.7947, 1.6646, 6.8457]],
  "species": ["Er", "Cu", "Pd", "Pd", "Pd", "Pd", "Pd", "Pd"],
  "fractional_positions": [[0.5000, 0.5000, 0.5000], [0.0000, 0.0000, 0.0000], [0.0660, 0.5572, 0.2951], [0.5572, 0.0660, 0.2951], [0.4428, 0.9340, 0.7049], [0.9340, 0.4428, 0.7049], [0.3506, 0.3506, 0.9432], [0.6494, 0.6494, 0.0568]]
}

{
  "formula": "SrAlP2O8",
  "functional": "PBE",
  "state": "relaxed",
  "m_tot_mub_per_cell": 0.6,
  "space_group": "P-3",
  "raw_formation_energy_mev_per_atom": -2514.9,
  "energy_ev_per_atom": -7.174,
  "cell": [[-2.6213, -4.1929, -1.2029], [4.0525, -0.3233, 3.0613], [-4.0941, 0.9751, 5.5228]],
  "species": ["Sr", "Al", "P", "P", "O", "O", "O", "O", "O", "O", "O", "O"],
  "fractional_positions": [[0.0000, 0.0000, 0.0000], [0.0000, 0.0000, 0.5000], [0.6667, 0.3333, 0.2634], [0.3333, 0.6667, 0.7366], [0.3333, 0.6667, 0.9584], [0.3352, 0.1705, 0.3330], [0.8295, 0.1646, 0.3330], [0.6667, 0.3333, 0.0416], [0.1705, 0.8354, 0.6670], [0.6648, 0.8295, 0.6670], [0.1646, 0.3352, 0.6670], [0.8354, 0.6648, 0.3330]]
}

{
  "formula": "TbThHgIr",
  "functional": "PBE",
  "state": "relaxed",
  "delta_e_f_kj_per_mol_atoms": -47,
  "m_tot_mub_per_cell": 0.0,
  "space_group": "F-43m",
  "energy_ev_per_atom": -5.789,
  "cell": [[-4.8096, 1.1149, -1.4856], [-3.9302, -2.9466, 1.5661], [-3.3945, 1.8345, 3.4197]],
  "species": ["Ir", "Tb", "Hg", "Th"],
  "fractional_positions": [[0.5000, 0.5000, 0.5000], [0.2500, 0.2500, 0.2500], [0.0000, 0.0000, 0.0000], [0.7500, 0.7500, 0.7500]]
}

{
  "formula": "BePbBr3",
  "functional": "PBE",
  "state": "relaxed",
  "m_tot_mub_per_cell": 0.0,
  "space_group": "Pm-3m",
  "raw_formation_energy_mev_per_atom": -362.2,
  "energy_ev_per_atom": -2.853,
  "cell": [[-3.2714, 1.1048, 3.5730], [2.5791, -2.7712, 3.2183], [2.7084, 3.9735, 1.2511]],
  "species": ["Be", "Pb", "Br", "Br", "Br"],
  "fractional_positions": [[0.0000, 0.0000, 0.0000], [0.5000, 0.5000, 0.5000], [0.0000, 0.5000, 0.0000], [0.0000, 0.0000, 0.5000], [0.5000, 0.0000, 0.0000]]
}

{
  "formula": "Tb6Nd4Mg",
  "functional": "PBE",
  "state": "relaxed",
  "delta_e_f_kj_per_mol_atoms": 26,
  "m_tot_mub_per_cell": 0.0,
  "space_group": "I-42m",
  "energy_ev_per_atom": -4.132,
  "cell": [[7.4731, -3.0251, -5.5578], [-5.1926, 8.0554, 2.0088], [-1.9500, 3.0251, 9.1069]],
  "species": ["Tb", "Tb", "Tb", "Tb", "Tb", "Tb", "Nd", "Nd", "Nd", "Nd", "Mg"],
  "fractional_positions": [[0.0000, 0.7995, 0.4542], [0.0000, 0.4542, 0.7995], [0.3453, 0.5458, 0.5458], [0.5000, 0.5000, 0.0000], [0.6547, 0.2005, 0.2005], [0.5000, 0.0000, 0.5000], [0.0000, 0.6403, 0.0090], [0.3687, 0.3597, 0.3597], [0.0000, 0.0090, 0.6403], [0.6313, 0.9910, 0.9910], [0.0000, 0.0000, 0.0000]]
}

{
  "formula": "TmAl3Pd",
  "functional": "PBE",
  "state": "relaxed",
  "delta_e_f_kj_per_mol_atoms": -52,
  "e_above_lowest_polymorph_ev_per_atom": 0.098,
  "m_tot_mub_per_cell": 0.0,
  "space_group": "Cmcm",
  "energy_ev_per_atom": -4.722,
  "cell": [[6.4990, 1.2088, 0.0000], [1.2575, 6.4897, 0.0000], [0.0000, 0.0000, 9.1743]],
  "species": ["Tm", "Tm", "Tm", "Tm", "Al", "Al", "Al", "Al", "Al", "Al", "Al", "Al", "Al", "Al", "Al", "Al", "Pd", "Pd", "Pd", "Pd"],
  "fractional_positions": [[0.8752, 0.8752, 0.2500], [0.1248, 0.1248, 0.7500], [0.3576, 0.3576, 0.2500], [0.6424, 0.6424, 0.7500], [0.8225, 0.4393, 0.2500], [0.1775, 0.5607, 0.7500], [0.5607, 0.1775, 0.7500], [0.4393, 0.8225, 0.2500], [0.1117, 0.1117, 0.4151], [0.8883, 0.8883, 0.9151], [0.8883, 0.8883, 0.5849], [0.1117, 0.1117, 0.0849], [0.3101, 0.6899, 0.0000], [0.6899, 0.3101, 0.5000], [0.6899, 0.3101, 0.0000], [0.3101, 0.6899, 0.5000], [0.5000, 0.0000, 0.0000], [0.5000, 0.0000, 0.5000], [0.0000, 0.5000, 0.0000], [0.0000, 0.5000, 0.5000]]
}

{
  "formula": "HoH8Rh2",
  "functional": "PBE",
  "state": "relaxed",
  "e_above_lowest_polymorph_ev_per_atom": 0.000,
  "m_tot_mub_per_cell": 0.0,
  "space_group": "Cmmm",
  "energy_ev_per_atom": -4.402,
  "cell": [[-3.1186, -1.7268, 0.7150], [-0.5075, -1.2816, -5.3088], [2.1447, -4.6651, -1.9123]],
  "species": ["Ho", "H", "H", "H", "H", "H", "H", "H", "H", "Rh", "Rh"],
  "fractional_positions": [[0.5000, 0.0000, 0.0000], [0.0000, 0.1316, 0.2585], [0.0000, 0.3900, 0.7415], [0.3939, 0.5000, 0.0000], [0.5000, 0.7629, 0.4742], [0.5000, 0.2371, 0.5258], [0.6061, 0.5000, 0.0000], [0.0000, 0.6100, 0.2585], [0.0000, 0.8684, 0.7415], [0.0000, 0.2298, 0.5404], [0.0000, 0.7702, 0.4596]]
}

{
  "formula": "Tb2Al5Ag2Pd",
  "functional": "PBE",
  "state": "relaxed",
  "delta_e_f_kj_per_mol_atoms": -39,
  "m_tot_mub_per_cell": 0.0,
  "space_group": "P4/mbm",
  "energy_ev_per_atom": -4.294,
  "cell": [[3.9380, 0.0000, 0.0000], [0.0000, 9.8875, 0.0000], [0.0000, 0.0000, 9.8875]],
  "species": ["Tb", "Tb", "Tb", "Tb", "Al", "Al", "Al", "Al", "Al", "Al", "Al", "Al", "Al", "Al", "Ag", "Ag", "Ag", "Ag", "Pd", "Pd"],
  "fractional_positions": [[0.0000, 0.6836, 0.1836], [0.0000, 0.3164, 0.8164], [0.0000, 0.1836, 0.3164], [0.0000, 0.8164, 0.6836], [0.5000, 0.1914, 0.0476], [0.5000, 0.8086, 0.9524], [0.5000, 0.0476, 0.8086], [0.5000, 0.6914, 0.4524], [0.5000, 0.9524, 0.1914], [0.5000, 0.3086, 0.5476], [0.5000, 0.5476, 0.6914], [0.5000, 0.4524, 0.3086], [0.5000, 0.5000, 0.0000], [0.5000, 0.0000, 0.5000], [0.0000, 0.1160, 0.6160], [0.0000, 0.8840, 0.3840], [0.0000, 0.6160, 0.8840], [0.0000, 0.3840, 0.1160], [0.0000, 0.0000, 0.0000], [0.0000, 0.5000, 0.5000]]
}

{
  "formula": "Tm2HSe3",
  "functional": "PBE",
  "state": "relaxed",
  "e_above_lowest_polymorph_ev_per_atom": 0.142,
  "m_tot_mub_per_cell": 0.0,
  "space_group": "C2/m",
  "energy_ev_per_atom": -4.998,
  "cell": [[4.2121, 0.0000, 0.0000], [2.1061, 7.4124, 0.6533], [2.1061, 2.3342, 9.6608]],
  "species": ["Tm", "Tm", "Tm", "Tm", "H", "H", "Se", "Se", "Se", "Se", "Se", "Se"],
  "fractional_positions": [[0.8573, 0.4654, 0.8199], [0.1427, 0.5346, 0.1801], [0.6061, 0.2333, 0.5544], [0.3939, 0.7667, 0.4456], [0.4420, 0.4902, 0.6259], [0.5580, 0.5098, 0.3741], [0.0559, 0.1380, 0.7502], [0.9441, 0.8620, 0.2498], [0.6489, 0.6940, 0.0082], [0.3511, 0.3060, 0.9918], [0.7799, 0.8196, 0.6206], [0.2201, 0.1804, 0.3794]]
}

{
  "formula": "AgWBr2",
  "functional": "PBE",
  "state": "relaxed",
  "e_above_lowest_polymorph_ev_per_atom": 0.749,
  "m_tot_mub_per_cell": 0.9,
  "space_group": "Fm-3m",
  "raw_formation_energy_mev_per_atom": 1097.6,
  "energy_ev_per_atom": -3.690,
  "cell": [[1.6074, 1.8272, 4.0987], [-2.9785, 0.5982, 3.6732], [0.3855, -2.7740, 3.8573]],
  "species": ["Br", "Br", "Ag", "W"],
  "fractional_positions": [[0.2500, 0.2500, 0.2500], [0.7500, 0.7500, 0.7500], [0.0000, 0.0000, 0.0000], [0.5000, 0.5000, 0.5000]]
}

{
  "formula": "GaCoTc3",
  "functional": "PBE",
  "state": "relaxed",
  "delta_e_f_kj_per_mol_atoms": 120,
  "e_above_lowest_polymorph_ev_per_atom": 0.000,
  "m_tot_mub_per_cell": 0.0,
  "space_group": "Pm-3m",
  "energy_ev_per_atom": -6.998,
  "cell": [[4.3971, 0.0000, 0.0000], [0.0000, 4.3971, 0.0000], [0.0000, 0.0000, 4.3971]],
  "species": ["Co", "Tc", "Tc", "Tc", "Ga"],
  "fractional_positions": [[0.0000, 0.0000, 0.0000], [0.0000, 0.5000, 0.0000], [0.0000, 0.0000, 0.5000], [0.5000, 0.0000, 0.0000], [0.5000, 0.5000, 0.5000]]
}